# Si2HgRhCl (PBE-GGA, relaxed)
data_Si2HgRhCl
_chemical_formula_sum 'Si2 Hg1 Rh1 Cl1'
_space_group_name_H-M_alt 'P 1'
_space_group_IT_number 1
_cell_length_a 4.922
_cell_length_b 4.922
_cell_length_c 5.332
_cell_angle_alpha 90.00
_cell_angle_beta 90.00
_cell_angle_gamma 90.00
loop_
_space_group_symop_operation_xyz
'x,y,z'
loop_
_atom_site_label
_atom_site_type_symbol
_atom_site_fract_x
_atom_site_fract_y
_atom_site_fract_z
Si1 Si 0.000 0.500 0.000
Si2 Si 0.500 0.000 0.000
Hg1 Hg 0.000 0.000 0.000
Rh1 Rh 0.000 0.000 0.500
Cl1 Cl 0.500 0.500 0.500
# **Space-group type**: P4/mmm, No. 123
# **Mass density**: 5.1 Mg/m³
# **DOS(E_F)**: 0.800 states/eV/atom
# **Crystal system**: tetragonal
# **DFT total energy**: -2.7637 eV per atom